Entry from Alexandria via LeMat-Bulk: a relaxed CdFe8 crystal (PBE-GGA).

```
data_CdFe8
_symmetry_space_group_name_H-M 'I 4/m m m'
_symmetry_Int_Tables_number 139
_symmetry_space_group_name_Hall '-I 4 2'
_cell_length_a 7.6564
_cell_length_b 7.6564
_cell_length_c 3.6402
_cell_angle_alpha 90.00
_cell_angle_beta 90.00
_cell_angle_gamma 90.00
loop_
_atom_site_label
_atom_site_fract_x
_atom_site_fract_y
_atom_site_fract_z
Cd1 0.0000 0.0000 0.0000
Fe1 0.0000 0.3539 0.0000
Fe2 0.1832 0.1832 0.5000
```

calculated density	8.7	g/cm3
N(E_F)	9.845	states/eV/f.u.
ΔH_f (0 K)	0.27	eV per atom
calculated total energy	-132.40	eV/cell